1.
DFT (PBE-GGA) results for a relaxed structure of NaPd2Pb3.

As for the calculated density: 9.8 g cm⁻³. The energy of formation is -0.2135 eV/atom. The calculation puts the energy above the lowest structure with this stoichiometry at 0.0 meV per atom.

The structure belongs to space group Pmc2_1 (No. 26); the cell edges are 4.5394, 8.5178 and 7.4964 Å and the angles 90.00°, 90.00° and 90.00°. The asymmetric unit holds Na at (0.0000, 0.0805, 0.0000), Pd at (0.0000, 0.3828, 0.2518), Pd at (0.5000, 0.1317, 0.7044), Pb at (0.0000, 0.3063, 0.6234), Pb at (0.5000, 0.1813, 0.3145) and Pb at (0.5000, 0.4197, 0.9521).

2.
DFT (PBE-GGA) results for a relaxed structure of Na2Pd2Pb.

As for the calculated density: 7.5 g cm⁻³. The energy of formation is 0.0275 eV/atom. The calculation puts the energy above the lowest structure with this stoichiometry at 232.9 meV per atom.

The structure belongs to space group P4/mbm (No. 127); the cell edges are 8.2065, 8.2065 and 3.0805 Å and the angles 90.00°, 90.00° and 90.00°. The asymmetric unit holds Na at (0.1191, 0.3809, 0.0000), Pd at (0.1814, 0.6814, 0.5000) and Pb at (0.0000, 0.0000, 0.0000).

3.
DFT (PBE-GGA) results for a relaxed structure of Na2PdPb4.

As for the calculated density: 7.0 g cm⁻³. The energy of formation is 0.0940 eV/atom. The calculation puts the energy above the lowest structure with this stoichiometry at 38.6 meV per atom.

The structure belongs to space group Cmmm (No. 65); the cell edges are 6.3263, 13.9498 and 5.2573 Å and the angles 90.00°, 90.00° and 90.00°. The asymmetric unit holds Na at (0.0000, 0.1292, 0.0000), Pd at (0.0000, 0.5000, 0.5000), Pb at (0.0000, 0.2806, 0.5000) and Pb at (0.0000, 0.3950, 0.0000).

4.
DFT (PBE-GGA) results for a relaxed structure of Na2Pd3Pb2.

As for the calculated density: 8.2 g cm⁻³. The energy of formation is -0.2218 eV/atom. The calculation puts the energy above the lowest structure with this stoichiometry at 35.0 meV per atom.

The structure belongs to space group C2/m (No. 12); the cell edges are 12.3281, 3.8755 and 7.3825 Å and the angles 90.00°, 116.55° and 90.00°. The asymmetric unit holds Na at (0.1137, 0.0000, 0.2762), Pd at (0.0000, 0.5000, 0.5000), Pd at (0.0908, 0.5000, 0.9383) and Pb at (0.1705, 0.0000, 0.7544).

5.
DFT (PBE-GGA) results for a relaxed structure of NaPd4Pb7.

As for the calculated density: 10.6 g cm⁻³. The energy of formation is -0.0922 eV/atom.

The structure belongs to space group C2/m (No. 12); the cell edges are 13.9116, 5.6496 and 9.0217 Å and the angles 90.00°, 122.90° and 90.00°. The asymmetric unit holds Na at (0.0000, 0.0000, 0.0000), Pd at (0.0205, 0.5000, 0.6972), Pd at (0.1966, 0.5000, 0.3283), Pb at (0.0000, 0.5000, 0.0000), Pb at (0.0681, 0.0000, 0.3987), Pb at (0.2044, 0.5000, 0.6514) and Pb at (0.2112, 0.0000, 0.8881).

6.
DFT (PBE-GGA) results for a relaxed structure of Na2Pd3Pb4.

As for the calculated density: 9.1 g cm⁻³. The energy of formation is -0.2433 eV/atom.

The structure belongs to space group Fmmm (No. 69); the cell edges are 5.8340, 10.3148 and 14.5130 Å and the angles 90.00°, 90.00° and 90.00°. The asymmetric unit holds Na at (0.0000, 0.0000, 0.1049), Pd at (0.0000, 0.0000, 0.5000), Pd at (0.2500, 0.2500, 0.0000) and Pb at (0.0000, 0.1635, 0.3422).

7.
DFT (PBE-GGA) results for a relaxed structure of Na3Pd2Pb.

As for the calculated density: 5.5 g cm⁻³. The energy of formation is -0.1503 eV/atom.

The structure belongs to space group C2/m (No. 12); the cell edges are 14.6992, 4.9083 and 8.6298 Å and the angles 90.00°, 109.90° and 90.00°. The asymmetric unit holds Na at (0.0065, 0.0000, 0.2411), Na at (0.1223, 0.5000, 0.1186), Na at (0.1960, 0.0000, 0.5556), Pd at (0.0689, 0.5000, 0.4200), Pd at (0.1981, 0.0000, 0.9375) and Pb at (0.1408, 0.5000, 0.7621).

8.
DFT (PBE-GGA) results for a relaxed structure of NaPd5Pb7.

As for the calculated density: 10.9 g cm⁻³. The energy of formation is -0.1764 eV/atom.

The structure belongs to space group Imm2 (No. 44); the cell edges are 5.8958, 10.0176 and 10.3047 Å and the angles 90.00°, 90.00° and 90.00°. The asymmetric unit holds Na at (0.0000, 0.0000, 0.0000), Pd at (0.0000, 0.5000, 0.1891), Pd at (0.2489, 0.2415, 0.1849), Pb at (0.0000, 0.0000, 0.3242), Pb at (0.0000, 0.0000, 0.6498), Pb at (0.0000, 0.3252, 0.4117), Pb at (0.0000, 0.3309, 0.9565) and Pb at (0.0000, 0.5000, 0.6745).

9.
DFT (PBE-GGA) results for a relaxed structure of Na5Pd4Pb2.

As for the calculated density: 6.6 g cm⁻³. The energy of formation is 0.0844 eV/atom.

The structure belongs to space group Immm (No. 71); the cell edges are 5.2049, 8.0494 and 11.4218 Å and the angles 90.00°, 90.00° and 90.00°. The asymmetric unit holds Na at (0.0000, 0.0000, 0.0000), Na at (0.0000, 0.1700, 0.2501), Pd at (0.0000, 0.1776, 0.5000), Pd at (0.0000, 0.5000, 0.1182) and Pb at (0.0000, 0.5000, 0.3664).

10.
DFT (PBE-GGA) results for a relaxed structure of NaPd2Pb2.

As for the calculated density: 9.7 g cm⁻³. The energy of formation is -0.2474 eV/atom. The calculation puts the energy above the lowest structure with this stoichiometry at 1.2 meV per atom.

The structure belongs to space group P4/mbm (No. 127); the cell edges are 7.9142, 7.9142 and 3.5502 Å and the angles 90.00°, 90.00° and 90.00°. The asymmetric unit holds Na at (0.0000, 0.0000, 0.0000), Pd at (0.1330, 0.3670, 0.0000) and Pb at (0.1611, 0.6611, 0.5000).

11.
DFT (PBE-GGA) results for a relaxed structure of NaPdPb2.

As for the calculated density: 8.5 g cm⁻³. The energy of formation is 0.0433 eV/atom.

The structure belongs to space group I-42d (No. 122); the cell edges are 4.6033, 4.6033 and 19.9369 Å and the angles 90.00°, 90.00° and 90.00°. The asymmetric unit holds Na at (0.0000, 0.0000, 0.0000), Pd at (0.0000, 0.0000, 0.5000) and Pb at (0.2281, 0.2500, 0.6250).

12.
DFT (PBE-GGA) results for a relaxed structure of Na2PdPb2.

As for the calculated density: 6.9 g cm⁻³. The energy of formation is -0.1374 eV/atom. The calculation puts the energy above the lowest structure with this stoichiometry at 0.0 meV per atom.

The structure belongs to space group P4/mbm (No. 127); the cell edges are 7.2286, 7.2286 and 5.2435 Å and the angles 90.00°, 90.00° and 90.00°. The asymmetric unit holds Na at (0.1692, 0.3308, 0.0000), Pd at (0.0000, 0.0000, 0.5000) and Pb at (0.1494, 0.6494, 0.5000).

13.
DFT (PBE-GGA) results for a relaxed structure of NaPd4Pb.

As for the calculated density: 9.4 g cm⁻³. The energy of formation is -0.0712 eV/atom. The calculation puts the energy above the lowest structure with this stoichiometry at 123.9 meV per atom.

The structure belongs to space group Pmma (No. 51); the cell edges are 7.9716, 4.1481 and 6.9746 Å and the angles 90.00°, 90.00° and 90.00°. The asymmetric unit holds Na at (0.2500, 0.0000, 0.1878), Pd at (0.0000, 0.0000, 0.5000), Pd at (0.0231, 0.5000, 0.7952), Pd at (0.2500, 0.5000, 0.4736) and Pb at (0.2500, 0.0000, 0.7683).

14.
DFT (PBE-GGA) results for a relaxed structure of NaPd2Pb2.

As for the calculated density: 9.6 g cm⁻³. The energy of formation is -0.1966 eV/atom. The calculation puts the energy above the lowest structure with this stoichiometry at 52.0 meV per atom.

The structure belongs to space group P4/mbm (No. 127); the cell edges are 8.2199, 8.2199 and 3.3214 Å and the angles 90.00°, 90.00° and 90.00°. The asymmetric unit holds Na at (0.0000, 0.0000, 0.0000), Pd at (0.1454, 0.3546, 0.5000) and Pb at (0.1490, 0.6490, 0.0000).

15.
DFT (PBE-GGA) results for a relaxed structure of NaPd15Pb4.

As for the calculated density: 11.9 g cm⁻³. The energy of formation is -0.2231 eV/atom.

The structure belongs to space group P4/mmm (No. 123); the cell edges are 4.1063, 4.1063 and 20.3428 Å and the angles 90.00°, 90.00° and 90.00°. The asymmetric unit holds Na at (0.0000, 0.0000, 0.0000), Pd at (0.0000, 0.5000, 0.0976), Pd at (0.0000, 0.5000, 0.2979), Pd at (0.0000, 0.5000, 0.5000), Pd at (0.5000, 0.5000, 0.0000), Pd at (0.5000, 0.5000, 0.1979), Pd at (0.5000, 0.5000, 0.3992), Pb at (0.0000, 0.0000, 0.1956) and Pb at (0.0000, 0.0000, 0.3985).

16.
DFT (PBE-GGA) results for a relaxed structure of NaPd12Pb6.

As for the calculated density: 10.6 g cm⁻³. The energy of formation is -0.0985 eV/atom.

The structure belongs to space group R-3m (No. 166, hexagonal axes); the cell edges are 12.3168, 12.3168 and 9.0760 Å and the angles 90.00°, 90.00° and 120.00°. The asymmetric unit holds Na at (0.0000, 0.0000, 0.0000), Pd at (0.0000, 0.3867, 0.5000), Pd at (0.0805, 0.1609, 0.2960) and Pb at (0.0488, 0.5244, 0.2449).

17.
DFT (PBE-GGA) results for a relaxed structure of Na6PdPb12.

As for the calculated density: 7.9 g cm⁻³. The energy of formation is -0.0617 eV/atom.

The structure belongs to space group R-3 (No. 148, hexagonal axes); the cell edges are 14.0196, 14.0196 and 10.1208 Å and the angles 90.00°, 90.00° and 120.00°. The asymmetric unit holds Na at (0.0512, 0.8340, 0.2481), Pd at (0.0000, 0.0000, 0.5000), Pb at (0.0508, 0.8251, 0.5844) and Pb at (0.0519, 0.8155, 0.9152).

18.
DFT (PBE-GGA) results for a relaxed structure of Na3Pd4Pb.

As for the calculated density: 6.0 g cm⁻³. The energy of formation is -0.0512 eV/atom.

The structure belongs to space group Imm2 (No. 44); the cell edges are 5.5025, 9.3168 and 7.5267 Å and the angles 90.00°, 90.00° and 90.00°. The asymmetric unit holds Na at (0.0000, 0.0000, 0.0000), Na at (0.0000, 0.2623, 0.3503), Pd at (0.0000, 0.2278, 0.7259), Pd at (0.2504, 0.0000, 0.6145) and Pb at (0.0000, 0.5000, 0.8057).

19.
DFT (PBE-GGA) results for a relaxed structure of Na7PdPb3.

As for the calculated density: 4.2 g cm⁻³. The energy of formation is -0.0141 eV/atom.

The structure belongs to space group P3m1 (No. 156); the cell edges are 7.3240, 7.3240 and 7.5562 Å and the angles 90.00°, 90.00° and 120.00°. The asymmetric unit holds Na at (0.0000, 0.0000, 0.0000), Na at (0.1697, 0.3394, 0.5811), Na at (0.5116, 0.0232, 0.9346), Pd at (0.6667, 0.3333, 0.5886) and Pb at (0.3747, 0.1873, 0.2917).

20.
DFT (PBE-GGA) results for a relaxed structure of NaPd2Pb2.

As for the calculated density: 9.6 g cm⁻³. The energy of formation is -0.1794 eV/atom. The calculation puts the energy above the lowest structure with this stoichiometry at 69.2 meV per atom.

The structure belongs to space group Pmma (No. 51); the cell edges are 6.2574, 4.7093 and 7.6388 Å and the angles 90.00°, 90.00° and 90.00°. The asymmetric unit holds Na at (0.0000, 0.0000, 0.0000), Pd at (0.0000, 0.5000, 0.5000), Pd at (0.2500, 0.5000, 0.1741), Pb at (0.2500, 0.0000, 0.3972) and Pb at (0.2500, 0.5000, 0.8050).

21.
DFT (PBE-GGA) results for a relaxed structure of Na2Pd2Pb.

As for the calculated density: 6.6 g cm⁻³. The energy of formation is -0.2054 eV/atom. The calculation puts the energy above the lowest structure with this stoichiometry at 0.0 meV per atom.

The structure belongs to space group P-3m1 (No. 164); the cell edges are 4.7452, 4.7452 and 5.9943 Å and the angles 90.00°, 90.00° and 120.00°. The asymmetric unit holds Na at (0.3333, 0.6667, 0.1270), Pd at (0.3333, 0.6667, 0.5978) and Pb at (0.0000, 0.0000, 0.5000).

DOS at the Fermi energy for every record listed, in sequence, given in states/eV/f.u.: 2.1; 1.9; 3.5; 2.9; 4.6; 2.7; 2.0; 5.9; 5.3; 1.8; 1.8; 2.7; 4.6; 1.8; 16.0; 8.3; 8.8; 2.3; 7.8; 2.5; 1.7.